Entry 1:
A plane-wave DFT calculation with PBE was carried out for a geometry-optimized SnAs2WSe structure.

abc: 4.9070 4.9070 5.0847
angles: 90.00 90.00 90.00
Closest atoms and distances in Å follow each position.
Atoms (fractional coordinates):
Sn1 0.0000 0.0000 0.0000  4 Se 3.47, 8 As 3.53
As1 0.0000 0.5000 0.5000  2 W 2.45
As2 0.5000 0.0000 0.5000  2 W 2.45
W1 0.5000 0.5000 0.5000  4 As 2.45, 2 Se 2.54
Se1 0.5000 0.5000 0.0000  2 W 2.54

## Properties
- Raw total energy: -27.705 eV for the cell shown
- Space-group type: P4/mmm, No. 123
- DOS(E_F): 2.6 states/eV per cell


Entry 2:
A plane-wave DFT calculation with PBE was carried out for a geometry-optimized SnAsWSe2 structure.

abc: 5.1643 5.1643 4.8253
angles: 90.00 90.00 90.00
Closest atoms and distances in Å follow each position.
Atoms (fractional coordinates):
Sn1 0.0000 0.0000 0.0000  8 Se 3.53, 4 W 3.65
As1 0.5000 0.5000 0.5000  2 W 2.41, 4 Se 2.58
W1 0.5000 0.5000 0.0000  2 As 2.41
Se1 0.0000 0.5000 0.5000  2 As 2.58
Se2 0.5000 0.0000 0.5000  2 As 2.58

## Properties
- Raw total energy: -23.452 eV for the cell shown
- Space-group type: P4/mmm, No. 123
- DOS(E_F): 4.9 states/eV per cell


no.,ΔE_f (raw) (eV/atom)
1,0.41
2,1.02